Compound: LaFeTe4
Source: Alexandria
Functional: PBEsol
Structure: optimized geometry

Formation energy from raw total energies in meV/atom: 331

Unit cell a=6.212 b=6.212 c=6.212 alpha=60.00 beta=60.00 gamma=60.00
Element x y z (fractional)
1 La 0.000 0.000 0.000
2 Fe 0.750 0.750 0.750
3 Te 0.375 0.375 0.375
4 Te 0.375 0.375 0.874
5 Te 0.375 0.874 0.375
6 Te 0.874 0.375 0.375

=====

Compound: LaTi3Fe
Source: Alexandria
Functional: PBEsol
Structure: optimized geometry

Final energy in eV for the cell shown: -31.43

Unit cell a=4.679 b=4.679 c=4.679 alpha=90.00 beta=90.00 gamma=90.00
Element x y z (fractional)
1 La 0.000 0.000 0.000
2 Ti 0.000 0.000 0.500
3 Ti 0.000 0.500 0.000
4 Ti 0.500 0.000 0.000
5 Fe 0.500 0.500 0.500

=====

Compound: LaTl2Fe
Source: Alexandria
Functional: PBEsol
Structure: optimized geometry

Final energy in eV for the cell shown: -18.95

Unit cell a=5.255 b=5.255 c=5.255 alpha=124.96 beta=124.96 gamma=81.60
Element x y z (fractional)
1 La 0.000 0.000 0.000
2 Tl 0.250 0.750 0.500
3 Tl 0.750 0.250 0.500
4 Fe 0.500 0.500 0.000